(1)
The following is a DFT calculation (PBE-GGA) of TbHfPdPt after structural relaxation.

Properties
- space-group type = No. 216
- calculated volume (Å³ per cell) = 79.47
- E_form (kJ/mol of formula units) = -333.7
- E_tot (eV/atom) = -7.32

Cell and atoms, written as extended XYZ:
```
4
Lattice="4.8258 0.0000 0.0000 2.4129 4.1793 0.0000 2.4129 1.3931 3.9403" Properties=species:S:1:pos:R:3 pbc="T T T"
Tb 4.8258 2.7862 1.9701
Hf 0.0000 0.0000 0.0000
Pd 7.2388 4.1793 2.9552
Pt 2.4129 1.3931 0.9851
```

---

(2)
The following is a DFT calculation (PBE-GGA) of Hf2ZnPdPt after structural relaxation.

Properties
- space-group type = No. 123
- calculated volume (Å³ per cell) = 117.87
- E_form (kJ/mol of formula units) = 262.7
- E_tot (eV/atom) = -5.94

Cell and atoms, written as extended XYZ:
```
5
Lattice="-3.1411 2.6950 -2.5747 -0.2589 -3.5769 -3.4281 -3.7185 -2.0361 2.4053" Properties=species:S:1:pos:R:3 pbc="T T T"
Zn -3.5592 -1.4590 -1.7988
Hf -1.8592 -1.0180 1.2026
Hf -1.5705 1.3475 -1.2873
Pd 0.0000 0.0000 0.0000
Pt -0.1295 -1.7884 -1.7141
```

---

Copy entry 1 word for word.
The following is a DFT calculation (PBE-GGA) of TbHfPdPt after structural relaxation.

Properties
- space-group type = No. 216
- calculated volume (Å³ per cell) = 79.47
- E_form (kJ/mol of formula units) = -333.7
- E_tot (eV/atom) = -7.32

Cell and atoms, written as extended XYZ:
```
4
Lattice="4.8258 0.0000 0.0000 2.4129 4.1793 0.0000 2.4129 1.3931 3.9403" Properties=species:S:1:pos:R:3 pbc="T T T"
Tb 4.8258 2.7862 1.9701
Hf 0.0000 0.0000 0.0000
Pd 7.2388 4.1793 2.9552
Pt 2.4129 1.3931 0.9851
```